The following is a DFT calculation (PBE) of a relaxed structure of Tb5Pt4.

## Properties
**SG**: Pnma
**Formation enthalpy at 0 K**: -1.149 eV per atom
**Raw total energy**: -0.4713 Ry/atom

abc: 7.502 14.706 7.586
angles: 90.00 90.00 90.00
Positions (direct):
Tb1 0.007 0.093 0.179
Tb2 0.007 0.407 0.179
Tb3 0.148 0.623 0.333
Tb4 0.148 0.877 0.333
Tb5 0.191 0.250 0.487
Tb6 0.309 0.750 0.987
Tb7 0.352 0.123 0.833
Tb8 0.352 0.377 0.833
Tb9 0.493 0.593 0.679
Tb10 0.493 0.907 0.679
Tb11 0.507 0.093 0.321
Tb12 0.507 0.407 0.321
Tb13 0.648 0.623 0.167
Tb14 0.648 0.877 0.167
Tb15 0.691 0.250 0.013
Tb16 0.809 0.750 0.513
Tb17 0.852 0.123 0.667
Tb18 0.852 0.377 0.667
Tb19 0.993 0.593 0.821
Tb20 0.993 0.907 0.821
Pt1 0.057 0.250 0.889
Pt2 0.171 0.750 0.643
Pt3 0.189 0.041 0.533
Pt4 0.189 0.459 0.533
Pt5 0.311 0.541 0.033
Pt6 0.311 0.959 0.033
Pt7 0.329 0.250 0.143
Pt8 0.443 0.750 0.389
Pt9 0.557 0.250 0.611
Pt10 0.671 0.750 0.857
Pt11 0.689 0.041 0.967
Pt12 0.689 0.459 0.967
Pt13 0.811 0.541 0.467
Pt14 0.811 0.959 0.467
Pt15 0.829 0.250 0.357
Pt16 0.943 0.750 0.111